Entry 1:
TcHg after structural relaxation. Source: the Alexandria database, functional GGA-PBE. Values from VASP.

As for the formation energy: 0.738 eV/atom. For the polymorph energy (0 for the lowest one), the calculation gives 0.495 eV/atom. For the raw total energy, the calculation gives -4.5961 eV/atom.

Structure (Quantum ESPRESSO input):
```
&SYSTEM
  ibrav = 0, nat = 4, ntyp = 2
/
ATOMIC_SPECIES
Hg 200.59 Hg.upf
Tc 98.00 Tc.upf
CELL_PARAMETERS angstrom
-1.816 0.626 -2.194
-0.148 -2.596 1.320
-6.303 3.523 6.224
ATOMIC_POSITIONS angstrom
Hg 0.000 0.000 0.000
Hg -3.152 1.762 3.112
Tc -2.280 -0.641 1.704
Tc -5.987 2.194 3.645
```

---

Entry 2:
BiTePt after structural relaxation. Source: the Alexandria database, functional GGA-PBE. Values from VASP.

For the polymorph energy (0 for the lowest one), the calculation gives 0.021 eV/atom. For the raw total energy, the calculation gives -4.6821 eV/atom. The value obtained for the formation energy (no corrections) is -0.33 eV/atom.

Structure (Quantum ESPRESSO input):
```
&SYSTEM
  ibrav = 0, nat = 6, ntyp = 3
/
ATOMIC_SPECIES
Bi 208.98 Bi.upf
Te 127.60 Te.upf
Pt 195.08 Pt.upf
CELL_PARAMETERS angstrom
-0.634 -4.046 0.351
4.669 -1.184 -5.215
4.059 -0.308 3.774
ATOMIC_POSITIONS angstrom
Bi 4.813 -4.195 -3.564
Bi 3.282 -1.343 2.474
Te 5.354 -3.966 0.052
Te 2.740 -1.572 -1.142
Pt 2.767 -3.499 0.758
Pt 5.328 -2.039 -1.847
```

---

Entry 3:
PmPd4Au2 after structural relaxation. Source: the Alexandria database, functional GGA-PBE. Values from VASP.

As for the formation energy: -0.474 eV/atom. For the polymorph energy (0 for the lowest one), the calculation gives 0.002 eV/atom. For the raw total energy, the calculation gives -5.0564 eV/atom.

Structure (Quantum ESPRESSO input):
```
&SYSTEM
  ibrav = 0, nat = 14, ntyp = 3
/
ATOMIC_SPECIES
Pm 145.00 Pm.upf
Pd 106.42 Pd.upf
Au 196.97 Au.upf
CELL_PARAMETERS angstrom
4.235 -0.359 -1.524
-2.865 6.102 -2.675
1.129 0.319 9.736
ATOMIC_POSITIONS angstrom
Pm -0.672 5.143 2.574
Pm -2.368 5.544 -2.197
Pd 3.309 1.727 1.008
Pd 1.029 3.241 7.686
Pd 4.965 0.121 6.013
Pd 1.516 0.799 2.920
Pd 1.786 3.465 3.140
Pd 0.235 4.498 5.283
Pd 2.581 3.485 -1.419
Pd 3.424 1.139 8.185
Au 2.638 2.297 5.686
Au 0.812 2.597 0.555
Au -0.022 1.722 5.116
Au 0.597 5.206 -0.638
```

---

Entry 4:
HoNpIr after structural relaxation. Source: the Alexandria database, functional GGA-PBE. Values from VASP.

As for the formation energy: -0.047 eV/atom. For the raw total energy, the calculation gives -8.8400 eV/atom.

Structure (Quantum ESPRESSO input):
```
&SYSTEM
  ibrav = 0, nat = 3, ntyp = 3
/
ATOMIC_SPECIES
Np 237.00 Np.upf
Ir 192.22 Ir.upf
Ho 164.93 Ho.upf
CELL_PARAMETERS angstrom
-2.749 1.326 0.553
-1.506 -1.280 -4.414
-0.684 -2.980 3.747
ATOMIC_POSITIONS angstrom
Np -1.784 -2.014 1.193
Ir -0.055 0.027 0.011
Ho -3.099 -0.946 -1.318
```